{"formula": "TaNi3Au", "functional": "GGA-PBE", "state": "optimized geometry", "cell": [[4.5062, 0.0000, 0.0000], [0.0000, 4.5062, 0.0000], [0.0000, 0.0000, 4.5062]], "species": ["Ta", "Ni", "Ni", "Ni", "Au"], "fractional_positions": [[0.0000, 0.0000, 0.0000], [0.0000, 0.0000, 0.5000], [0.0000, 0.5000, 0.0000], [0.5000, 0.0000, 0.0000], [0.5000, 0.5000, 0.5000]], "ef_ev_per_atom": 1.243, "spacegroup": "Pm-3m, No. 221"}